Record 1
# Cd6SnHg8, relaxed, DFT PBE-GGA
data_Cd6SnHg8
_chemical_formula_sum 'Cd18 Sn3 Hg24'
_space_group_name_H-M_alt 'R -3'
_space_group_IT_number 148
_space_group_name_Hall '-R 3'
_cell_length_a 7.1006
_cell_length_b 7.1006
_cell_length_c 27.6720
_cell_angle_alpha 90.00
_cell_angle_beta 90.00
_cell_angle_gamma 120.00
loop_
_atom_site_label
_atom_site_fract_x
_atom_site_fract_y
_atom_site_fract_z
Cd1 0.0463 0.6184 0.2710
Sn1 0.0000 0.0000 0.0000
Hg1 0.0000 0.0000 0.3058
Hg2 0.0049 0.2836 0.2025
# Final energy in eV/atom: -0.7502
# Total moment in μB per cell: 0.00
# Volume in Å³ per atom: 26.85
# DFT formation energy in eV/atom: 0.044

=====

Record 2
# Cd4Sn3Hg4, relaxed, DFT PBE-GGA
data_Cd4Sn3Hg4
_chemical_formula_sum 'Cd8 Sn6 Hg8'
_space_group_name_H-M_alt 'A m m 2'
_space_group_IT_number 38
_cell_length_a 9.3200
_cell_length_b 4.6231
_cell_length_c 13.3003
_cell_angle_alpha 90.00
_cell_angle_beta 90.00
_cell_angle_gamma 90.00
loop_
_space_group_symop_operation_xyz
'x,y,z'
'-x,-y,z'
'-x,y,z'
'x,-y,z'
'x,y+1/2,z+1/2'
'-x,-y+1/2,z+1/2'
'-x,y+1/2,z+1/2'
'x,-y+1/2,z+1/2'
loop_
_atom_site_label
_atom_site_fract_x
_atom_site_fract_y
_atom_site_fract_z
Cd1 0.0000 0.0000 0.0000
Cd2 0.2473 0.0000 0.8282
Cd3 0.5000 0.0000 0.9749
Sn1 0.0000 0.0000 0.3224
Sn2 0.2617 0.0000 0.4908
Hg1 0.0000 0.0000 0.6535
Hg2 0.2757 0.0000 0.1674
Hg3 0.5000 0.0000 0.6887
# Final energy in eV/atom: -1.4735
# Total moment in μB per cell: 0.00
# Volume in Å³ per atom: 26.05
# DFT formation energy in eV/atom: 0.061

=====

Record 3
# Cd4SnHg2, relaxed, DFT PBE-GGA
data_Cd4SnHg2
_chemical_formula_sum 'Cd8 Sn2 Hg4'
_space_group_name_H-M_alt 'P b a m'
_space_group_IT_number 55
_cell_length_a 6.7954
_cell_length_b 11.0977
_cell_length_c 4.9915
_cell_angle_alpha 90.00
_cell_angle_beta 90.00
_cell_angle_gamma 90.00
loop_
_space_group_symop_operation_xyz
'x,y,z'
'-x,-y,-z'
'-x,-y,z'
'x,y,-z'
'x+1/2,-y+1/2,-z'
'-x+1/2,y+1/2,z'
'-x+1/2,y+1/2,-z'
'x+1/2,-y+1/2,z'
loop_
_atom_site_label
_atom_site_fract_x
_atom_site_fract_y
_atom_site_fract_z
Cd1 0.1780 0.2368 0.0000
Cd2 0.2348 0.5468 0.5000
Sn1 0.0000 0.5000 0.0000
Hg1 0.0960 0.8063 0.5000
# Final energy in eV/atom: -1.1140
# Total moment in μB per cell: 0.00
# Volume in Å³ per atom: 26.89
# DFT formation energy in eV/atom: 0.067

=====

Record 4
# Cd3Sn2Hg8, relaxed, DFT PBE-GGA
data_Cd3Sn2Hg8
_chemical_formula_sum 'Cd3 Sn2 Hg8'
_space_group_name_H-M_alt 'P -1'
_space_group_IT_number 2
_cell_length_a 5.2126
_cell_length_b 7.8573
_cell_length_c 8.9539
_cell_angle_alpha 105.62
_cell_angle_beta 93.62
_cell_angle_gamma 102.21
loop_
_space_group_symop_operation_xyz
'x,y,z'
'-x,-y,-z'
loop_
_atom_site_label
_atom_site_fract_x
_atom_site_fract_y
_atom_site_fract_z
Cd1 0.0000 0.0000 0.0000
Cd2 0.3218 0.7374 0.8059
Sn1 0.1799 0.3089 0.7262
Hg1 0.1021 0.1225 0.3730
Hg2 0.2209 0.4187 0.0946
Hg3 0.3105 0.6287 0.4617
Hg4 0.4113 0.8679 0.1708
# Final energy in eV/atom: -0.9601
# Total moment in μB per cell: 0.00
# Volume in Å³ per atom: 26.34
# DFT formation energy in eV/atom: 0.053

=====

Record 5
# CdSnHg2, relaxed, DFT PBE-GGA
data_CdSnHg2
_chemical_formula_sum 'Cd1 Sn1 Hg2'
_space_group_name_H-M_alt 'P 4/m m m'
_space_group_IT_number 123
_space_group_name_Hall '-P 4 2'
_cell_length_a 5.6924
_cell_length_b 5.6924
_cell_length_c 3.1599
_cell_angle_alpha 90.00
_cell_angle_beta 90.00
_cell_angle_gamma 90.00
loop_
_atom_site_label
_atom_site_fract_x
_atom_site_fract_y
_atom_site_fract_z
Cd1 0.0000 0.0000 0.0000
Sn1 0.5000 0.5000 0.0000
Hg1 0.0000 0.5000 0.5000
# Final energy in eV/atom: -1.3207
# Total moment in μB per cell: 0.00
# Volume in Å³ per atom: 25.60
# DFT formation energy in eV/atom: 0.060

=====

Record 6
# Cd3SnHg7, relaxed, DFT PBE-GGA
data_Cd3SnHg7
_chemical_formula_sum 'Cd6 Sn2 Hg14'
_space_group_name_H-M_alt 'C 1 m 1'
_space_group_IT_number 8
_cell_length_a 16.0788
_cell_length_b 6.9447
_cell_length_c 5.4125
_cell_angle_alpha 90.00
_cell_angle_beta 105.04
_cell_angle_gamma 90.00
loop_
_space_group_symop_operation_xyz
'x,y,z'
'x,-y,z'
'x+1/2,y+1/2,z'
'x+1/2,-y+1/2,z'
loop_
_atom_site_label
_atom_site_fract_x
_atom_site_fract_y
_atom_site_fract_z
Cd1 0.0000 0.0000 0.0000
Cd2 0.0126 0.2620 0.5312
Sn1 0.0035 0.5000 0.0384
Hg1 0.1625 0.0000 0.4973
Hg2 0.1736 0.2726 0.0215
Hg3 0.3229 0.2614 0.7339
Hg4 0.3344 0.0000 0.2507
Hg5 0.3525 0.5000 0.2764
# Final energy in eV/atom: -0.7508
# Total moment in μB per cell: 0.00
# Volume in Å³ per atom: 26.53
# DFT formation energy in eV/atom: 0.055

=====

> Among the records above, which one has the lowest final energy?

Cd4Sn3Hg4

=====

> The lowest final energy belongs to which entry?

Cd4Sn3Hg4

=====

What did the sixth record say?
# Cd3SnHg7, relaxed, DFT PBE-GGA
data_Cd3SnHg7
_chemical_formula_sum 'Cd6 Sn2 Hg14'
_space_group_name_H-M_alt 'C 1 m 1'
_space_group_IT_number 8
_cell_length_a 16.0788
_cell_length_b 6.9447
_cell_length_c 5.4125
_cell_angle_alpha 90.00
_cell_angle_beta 105.04
_cell_angle_gamma 90.00
loop_
_space_group_symop_operation_xyz
'x,y,z'
'x,-y,z'
'x+1/2,y+1/2,z'
'x+1/2,-y+1/2,z'
loop_
_atom_site_label
_atom_site_fract_x
_atom_site_fract_y
_atom_site_fract_z
Cd1 0.0000 0.0000 0.0000
Cd2 0.0126 0.2620 0.5312
Sn1 0.0035 0.5000 0.0384
Hg1 0.1625 0.0000 0.4973
Hg2 0.1736 0.2726 0.0215
Hg3 0.3229 0.2614 0.7339
Hg4 0.3344 0.0000 0.2507
Hg5 0.3525 0.5000 0.2764
# Final energy in eV/atom: -0.7508
# Total moment in μB per cell: 0.00
# Volume in Å³ per atom: 26.53
# DFT formation energy in eV/atom: 0.055